Model one:
VASP calculation (PBE) on a relaxed structure of CaNiSN2.

**Magnetization**: 1.097 μB/f.u.

Cell lengths 4.244, 4.244, 5.313 Å; angles 90.00, 90.00, 90.00 degrees
Site moments in Bohr magnetons follow the coordinates.
Element x y z (fractional)
S 0.000 0.000 0.500  0.09
N 0.500 0.000 0.000  -0.07
N 0.000 0.500 0.000  -0.07
Ca 0.000 0.000 0.000  -0.05
Ni 0.500 0.500 0.500  1.18


Model two:
VASP calculation (PBE) on a relaxed structure of CaNiSN2.

**Magnetization**: 3.097 μB/f.u.

Cell lengths 3.826, 3.826, 4.877 Å; angles 90.00, 90.00, 90.00 degrees
Site moments in Bohr magnetons follow the coordinates.
Element x y z (fractional)
Ni 0.000 0.000 0.000  0.59
N 0.000 0.500 0.000  0.84
N 0.500 0.000 0.000  0.84
Ca 0.500 0.500 0.500  0.01
S 0.000 0.000 0.500  0.10


Relative energies, in kJ/mol of atoms, with the most stable structure set to zero: model one 158.2; model two 0.0.


Model one:
VASP calculation (PBE) on a relaxed structure of ScFeTc2.

**Magnetization**: 0.000 μB/f.u.

Cell lengths 4.345, 4.345, 4.345 Å; angles 60.00, 60.00, 60.00 degrees
Element x y z (fractional)
Tc 0.750 0.750 0.750
Tc 0.250 0.250 0.250
Fe 0.500 0.500 0.500
Sc 0.000 0.000 0.000


Model two:
VASP calculation (PBE) on a relaxed structure of ScFeTc2.

**Magnetization**: 1.969 μB/f.u.

Cell lengths 3.105, 3.105, 6.336 Å; angles 90.00, 90.00, 90.00 degrees
Site moments in Bohr magnetons follow the coordinates.
Element x y z (fractional)
Tc 0.500 0.500 0.252  0.17
Tc 0.000 0.000 0.027  -0.06
Sc 0.500 0.500 0.741  -0.20
Fe 0.000 0.000 0.480  2.17


Relative energies, in kJ/mol of atoms, with the most stable structure set to zero: model one 23.9; model two 0.0.